(1)
# InPdS | Alexandria via LeMat-Bulk | PBE | optimized geometry
data_InPdS
_cell_length_a 3.755
_cell_length_b 5.051
_cell_length_c 8.500
_cell_angle_alpha 99.59
_cell_angle_beta 77.24
_cell_angle_gamma 68.18
_symmetry_space_group_name_H-M 'P 1'
_symmetry_Int_Tables_number 1
_symmetry_space_group_name_Hall 'P 1'
loop_
_atom_site_label
_atom_site_type_symbol
_atom_site_fract_x
_atom_site_fract_y
_atom_site_fract_z
Pd1 Pd 0.089 0.254 0.567
Pd2 Pd 0.911 0.746 0.433
S1 S 0.228 0.385 0.158
S2 S 0.772 0.615 0.842
In1 In 0.260 0.788 0.692
In2 In 0.740 0.212 0.308
# formation energy without anion corrections	-0.2675	eV/atom
# final energy	-4.287	eV/atom

(2)
# MnTc3Se | Alexandria via LeMat-Bulk | PBE | optimized geometry
data_MnTc3Se
_cell_length_a 4.442
_cell_length_b 4.442
_cell_length_c 4.442
_cell_angle_alpha 90.00
_cell_angle_beta 90.00
_cell_angle_gamma 90.00
_symmetry_space_group_name_H-M 'P 1'
_symmetry_Int_Tables_number 1
_symmetry_space_group_name_Hall 'P 1'
loop_
_atom_site_label
_atom_site_type_symbol
_atom_site_fract_x
_atom_site_fract_y
_atom_site_fract_z
Se1 Se 0.500 0.500 0.500
Mn1 Mn 0.000 0.000 0.000
Tc1 Tc 0.000 0.500 0.000
Tc2 Tc 0.000 0.000 0.500
Tc3 Tc 0.500 0.000 0.000
# formation energy without anion corrections	1.3117	eV/atom
# final energy	-7.439	eV/atom
# excess energy over the best structure of this formula in the dataset	0.00	eV per formula unit

(3)
# SrScMo | Alexandria via LeMat-Bulk | PBE | optimized geometry
data_SrScMo
_cell_length_a 8.060
_cell_length_b 7.961
_cell_length_c 3.160
_cell_angle_alpha 80.38
_cell_angle_beta 76.88
_cell_angle_gamma 22.74
_symmetry_space_group_name_H-M 'P 1'
_symmetry_Int_Tables_number 1
_symmetry_space_group_name_Hall 'P 1'
loop_
_atom_site_label
_atom_site_type_symbol
_atom_site_fract_x
_atom_site_fract_y
_atom_site_fract_z
Sc1 Sc 0.365 0.365 0.635
Sr1 Sr 0.649 0.649 0.351
Mo1 Mo 0.986 0.986 0.014
# final energy	-5.616	eV/atom
# ΔH_f (0 K)	0.67	eV per atom
# excess energy over the best structure of this formula in the dataset	0.18	eV per formula unit

(4)
# Li3TcO4 | Alexandria via LeMat-Bulk | PBE | optimized geometry
data_Li3TcO4
_cell_length_a 5.176
_cell_length_b 5.191
_cell_length_c 5.934
_cell_angle_alpha 90.00
_cell_angle_beta 90.00
_cell_angle_gamma 110.66
_symmetry_space_group_name_H-M 'P 1'
_symmetry_Int_Tables_number 1
_symmetry_space_group_name_Hall 'P 1'
loop_
_atom_site_label
_atom_site_type_symbol
_atom_site_fract_x
_atom_site_fract_y
_atom_site_fract_z
Li1 Li 0.250 0.500 0.396
Li2 Li 0.750 0.500 0.604
Li3 Li 0.750 0.500 0.130
Li4 Li 0.250 0.000 0.625
Li5 Li 0.250 0.500 0.870
Li6 Li 0.750 0.000 0.375
O1 O 0.498 0.777 0.111
O2 O 0.502 0.223 0.889
O3 O 0.998 0.777 0.889
O4 O 0.520 0.756 0.639
O5 O 0.020 0.756 0.361
O6 O 0.980 0.244 0.639
O7 O 0.480 0.244 0.361
O8 O 0.002 0.223 0.111
Tc1 Tc 0.750 0.000 0.854
Tc2 Tc 0.250 0.000 0.146
# formation energy without anion corrections	-1.7788	eV/atom
# final energy	-6.271	eV/atom
# excess energy over the best structure of this formula in the dataset	0.13	eV per formula unit

(5)
# Zr2CdAg | Alexandria via LeMat-Bulk | PBE | optimized geometry
data_Zr2CdAg
_cell_length_a 4.921
_cell_length_b 4.921
_cell_length_c 3.501
_cell_angle_alpha 90.00
_cell_angle_beta 90.00
_cell_angle_gamma 90.00
_symmetry_space_group_name_H-M 'P 1'
_symmetry_Int_Tables_number 1
_symmetry_space_group_name_Hall 'P 1'
loop_
_atom_site_label
_atom_site_type_symbol
_atom_site_fract_x
_atom_site_fract_y
_atom_site_fract_z
Zr1 Zr 0.000 0.000 0.000
Zr2 Zr 0.500 0.500 0.000
Ag1 Ag 0.500 0.000 0.500
Cd1 Cd 0.000 0.500 0.500
# final energy	-5.214	eV/atom
# ΔH_f (0 K)	0.00	eV per atom

(6)
# NaTcH2 | Alexandria via LeMat-Bulk | PBE | optimized geometry
data_NaTcH2
_cell_length_a 5.006
_cell_length_b 5.006
_cell_length_c 4.856
_cell_angle_alpha 58.97
_cell_angle_beta 58.97
_cell_angle_gamma 90.00
_symmetry_space_group_name_H-M 'P 1'
_symmetry_Int_Tables_number 1
_symmetry_space_group_name_Hall 'P 1'
loop_
_atom_site_label
_atom_site_type_symbol
_atom_site_fract_x
_atom_site_fract_y
_atom_site_fract_z
Tc1 Tc 0.000 0.000 0.000
Tc2 Tc 0.750 0.250 0.500
H1 H 0.875 0.934 0.750
H2 H 0.684 0.125 0.250
H3 H 0.375 0.316 0.750
H4 H 0.066 0.625 0.250
Na1 Na 0.250 0.750 0.500
Na2 Na 0.500 0.500 0.000
# final energy	-4.323	eV/atom
# excess energy over the best structure of this formula in the dataset	0.85	eV per formula unit

(7)
# Ag2HIrCl | Alexandria via LeMat-Bulk | PBE | optimized geometry
data_Ag2HIrCl
_cell_length_a 5.093
_cell_length_b 4.323
_cell_length_c 5.093
_cell_angle_alpha 90.00
_cell_angle_beta 90.00
_cell_angle_gamma 90.00
_symmetry_space_group_name_H-M 'P 1'
_symmetry_Int_Tables_number 1
_symmetry_space_group_name_Hall 'P 1'
loop_
_atom_site_label
_atom_site_type_symbol
_atom_site_fract_x
_atom_site_fract_y
_atom_site_fract_z
Ag1 Ag 0.000 0.000 0.500
Ag2 Ag 0.500 0.000 0.000
H1 H 0.500 0.500 0.500
Cl1 Cl 0.000 0.000 0.000
Ir1 Ir 0.000 0.500 0.000
# final energy	-2.536	eV/atom

(8)
# La3BiAs | Alexandria via LeMat-Bulk | PBE | optimized geometry
data_La3BiAs
_cell_length_a 4.510
_cell_length_b 8.939
_cell_length_c 16.242
_cell_angle_alpha 90.00
_cell_angle_beta 90.00
_cell_angle_gamma 90.00
_symmetry_space_group_name_H-M 'P 1'
_symmetry_Int_Tables_number 1
_symmetry_space_group_name_Hall 'P 1'
loop_
_atom_site_label
_atom_site_type_symbol
_atom_site_fract_x
_atom_site_fract_y
_atom_site_fract_z
La1 La 0.750 0.150 0.025
La2 La 0.250 0.977 0.391
La3 La 0.250 0.685 0.717
La4 La 0.250 0.477 0.109
La5 La 0.250 0.850 0.975
La6 La 0.750 0.815 0.217
La7 La 0.750 0.315 0.283
La8 La 0.750 0.650 0.475
La9 La 0.750 0.523 0.891
La10 La 0.750 0.023 0.609
La11 La 0.250 0.350 0.525
La12 La 0.250 0.185 0.783
As1 As 0.250 0.817 0.554
As2 As 0.750 0.183 0.446
As3 As 0.250 0.317 0.946
As4 As 0.750 0.683 0.054
Bi1 Bi 0.750 0.406 0.682
Bi2 Bi 0.250 0.094 0.182
Bi3 Bi 0.750 0.906 0.818
Bi4 Bi 0.250 0.594 0.318
# final energy	-5.712	eV/atom
# ΔH_f (0 K)	-1.05	eV per atom